No. 1
Below is a geometry-optimized Pu2OsPt structure, with properties calculated at the PBE-GGA level.

**Total magnetization**: 2.486 μB/atom
**Total DFT energy (no corrections)**: -0.435 hartree per atom

Lattice parameters (Å, degrees): 3.3346 3.3346 7.3248 90.00 90.00 90.00
Space group P4/mmm (No. 123)
Inequivalent atoms, fractional coordinates:
Pu 0.0000 0.0000 0.2416 [2 per cell]
Os 0.5000 0.5000 0.0000 [1 per cell]
Pt 0.5000 0.5000 0.5000 [1 per cell]

---

No. 2
Below is a geometry-optimized Pu7Os2Pt2 structure, with properties calculated at the PBE-GGA level.

**Total magnetization**: 0.498 μB/atom
**Total DFT energy (no corrections)**: -0.449 hartree per atom

Lattice parameters (Å, degrees): 5.7753 10.0470 8.4575 90.00 90.00 90.00
Space group Cmmm (No. 65)
Inequivalent atoms, fractional coordinates:
Pu 0.0000 0.0000 0.0000 [2 per cell]
Pu 0.0000 0.5000 0.2229 [4 per cell]
Pu 0.2500 0.2500 0.3193 [8 per cell]
Os 0.2148 0.0000 0.5000 [4 per cell]
Pt 0.0000 0.2829 0.0000 [4 per cell]

---

No. 3
Below is a geometry-optimized PuScOsPt structure, with properties calculated at the PBE-GGA level.

**Total magnetization**: 1.162 μB/atom
**Total DFT energy (no corrections)**: -0.367 hartree per atom

Lattice parameters (Å, degrees): 6.7072 6.7072 6.7072 90.00 90.00 90.00
Space group F-43m (No. 216)
Inequivalent atoms, fractional coordinates:
Pu 0.0000 0.0000 0.0000 [4 per cell]
Sc 0.0000 0.0000 0.5000 [4 per cell]
Os 0.2500 0.2500 0.2500 [4 per cell]
Pt 0.2500 0.2500 0.7500 [4 per cell]

---

No. 4
Below is a geometry-optimized TmPuOsPt structure, with properties calculated at the PBE-GGA level.

**Total magnetization**: 1.159 μB/atom
**Total DFT energy (no corrections)**: -0.349 hartree per atom

Lattice parameters (Å, degrees): 6.8460 6.8460 6.8460 90.00 90.00 90.00
Space group F-43m (No. 216)
Inequivalent atoms, fractional coordinates:
Tm 0.0000 0.0000 0.0000 [4 per cell]
Pu 0.0000 0.0000 0.5000 [4 per cell]
Os 0.2500 0.2500 0.7500 [4 per cell]
Pt 0.2500 0.2500 0.2500 [4 per cell]

---

No. 5
Below is a geometry-optimized PuUOsPt structure, with properties calculated at the PBE-GGA level.

**Total magnetization**: 0.892 μB/atom
**Total DFT energy (no corrections)**: -0.401 hartree per atom

Lattice parameters (Å, degrees): 6.8632 6.8632 6.8632 90.00 90.00 90.00
Space group F-43m (No. 216)
Inequivalent atoms, fractional coordinates:
Pu 0.0000 0.0000 0.0000 [4 per cell]
U 0.0000 0.0000 0.5000 [4 per cell]
Os 0.2500 0.2500 0.7500 [4 per cell]
Pt 0.2500 0.2500 0.2500 [4 per cell]

---

No. 6
Below is a geometry-optimized RbOsPt2S structure, with properties calculated at the PBE-GGA level.

**Total magnetization**: 0.000 μB/atom
**Raw formation energy**: 0.71 eV/atom
**Total DFT energy (no corrections)**: -0.183 hartree per atom

Lattice parameters (Å, degrees): 4.7995 4.7995 4.3900 90.00 90.00 90.00
Space group P4/mmm (No. 123)
Inequivalent atoms, fractional coordinates:
Rb 0.0000 0.0000 0.0000 [1 per cell]
Os 0.5000 0.5000 0.0000 [1 per cell]
Pt 0.0000 0.5000 0.5000 [2 per cell]
S 0.5000 0.5000 0.5000 [1 per cell]

---

No. 7
Below is a geometry-optimized RbSb2OsPt structure, with properties calculated at the PBE-GGA level.

**Total magnetization**: 0.536 μB/atom
**Raw formation energy**: 2.77 eV/atom
**Total DFT energy (no corrections)**: -0.093 hartree per atom

Lattice parameters (Å, degrees): 5.7801 5.7801 4.9295 90.00 90.00 90.00
Space group P4/mmm (No. 123)
Inequivalent atoms, fractional coordinates:
Rb 0.0000 0.0000 0.0000 [1 per cell]
Sb 0.0000 0.5000 0.0000 [2 per cell]
Os 0.5000 0.5000 0.5000 [1 per cell]
Pt 0.0000 0.0000 0.5000 [1 per cell]

---

No. 8
Below is a geometry-optimized RbSi2OsPt structure, with properties calculated at the PBE-GGA level.

**Total magnetization**: 0.070 μB/atom
**Raw formation energy**: 0.31 eV/atom
**Total DFT energy (no corrections)**: -0.202 hartree per atom

Lattice parameters (Å, degrees): 4.6196 4.6196 5.3296 90.00 90.00 90.00
Space group P4/mmm (No. 123)
Inequivalent atoms, fractional coordinates:
Rb 0.0000 0.0000 0.0000 [1 per cell]
Si 0.0000 0.5000 0.5000 [2 per cell]
Os 0.5000 0.5000 0.5000 [1 per cell]
Pt 0.5000 0.5000 0.0000 [1 per cell]

---

No. 9
Below is a geometry-optimized RbTc2OsPt structure, with properties calculated at the PBE-GGA level.

**Total magnetization**: 0.193 μB/atom
**Total DFT energy (no corrections)**: -0.157 hartree per atom

Lattice parameters (Å, degrees): 4.5706 4.5706 4.6696 90.00 90.00 90.00
Space group P4/mmm (No. 123)
Inequivalent atoms, fractional coordinates:
Rb 0.0000 0.0000 0.0000 [1 per cell]
Tc 0.0000 0.5000 0.0000 [2 per cell]
Os 0.0000 0.0000 0.5000 [1 per cell]
Pt 0.5000 0.5000 0.5000 [1 per cell]

---

No. 10
Below is a geometry-optimized RbTiOs2Pt structure, with properties calculated at the PBE-GGA level.

**Total magnetization**: 0.000 μB/atom
**Total DFT energy (no corrections)**: -0.160 hartree per atom

Lattice parameters (Å, degrees): 4.6507 4.6507 4.4692 90.00 90.00 90.00
Space group P4/mmm (No. 123)
Inequivalent atoms, fractional coordinates:
Rb 0.0000 0.0000 0.0000 [1 per cell]
Ti 0.0000 0.0000 0.5000 [1 per cell]
Os 0.0000 0.5000 0.0000 [2 per cell]
Pt 0.5000 0.5000 0.5000 [1 per cell]

---

No. 11
Below is a geometry-optimized Rb2VOsPt structure, with properties calculated at the PBE-GGA level.

**Total magnetization**: 0.586 μB/atom
**Total DFT energy (no corrections)**: -0.146 hartree per atom

Lattice parameters (Å, degrees): 6.4066 6.4066 4.7989 90.00 90.00 90.00
Space group P4/mmm (No. 123)
Inequivalent atoms, fractional coordinates:
Rb 0.0000 0.5000 0.0000 [2 per cell]
V 0.0000 0.0000 0.5000 [1 per cell]
Os 0.5000 0.5000 0.0000 [1 per cell]
Pt 0.5000 0.5000 0.5000 [1 per cell]

---

No. 12
Below is a geometry-optimized RbZnOs2Pt structure, with properties calculated at the PBE-GGA level.

**Total magnetization**: 0.844 μB/atom
**Total DFT energy (no corrections)**: -0.159 hartree per atom

Lattice parameters (Å, degrees): 4.7711 4.7711 4.8614 90.00 90.00 90.00
Space group P4/mmm (No. 123)
Inequivalent atoms, fractional coordinates:
Rb 0.0000 0.0000 0.0000 [1 per cell]
Zn 0.5000 0.5000 0.5000 [1 per cell]
Os 0.0000 0.5000 0.5000 [2 per cell]
Pt 0.5000 0.5000 0.0000 [1 per cell]